First-principles (PBE-GGA) data for an optimized crystal structure of ErPa5S6, as listed in the Alexandria database.

a = 6.754 Å, b = 6.754 Å, c = 6.853 Å
α = 99.62°, β = 99.62°, γ = 121.86°
Positions (direct):
S 0.248 0.248 0.753
S 0.412 0.083 0.247
S 0.588 0.917 0.753
S 0.083 0.412 0.247
S 0.917 0.588 0.753
S 0.752 0.752 0.247
Pa 0.500 0.500 0.500
Pa 0.167 0.833 0.500
Pa 0.833 0.167 0.500
Pa 0.332 0.668 0.000
Pa 0.668 0.332 0.000
Er 0.000 0.000 0.000

## Properties
DOS at the Fermi energy	17.8	states/eV per cell
crystal system	monoclinic

First-principles (PBE-GGA) data for an optimized crystal structure of TiBeSe2Br, as listed in the Alexandria database.

a = 4.658 Å, b = 4.658 Å, c = 4.607 Å
α = 90.00°, β = 90.00°, γ = 90.00°
Positions (direct):
Be 0.000 0.000 0.000
Ti 0.500 0.500 0.500
Se 0.500 0.000 0.000
Se 0.000 0.500 0.000
Br 0.000 0.000 0.500

## Properties
DOS at the Fermi energy	6.3	states/eV per cell
energy above the most stable polymorph in this dataset	29.6	meV/atom
crystal system	tetragonal

Number 1: raw formation energy -19.8 eV per formula unit. Number 2: raw formation energy 0.5 eV per formula unit.